1.
This record from Alexandria describes an optimized crystal structure of CdCuH. The functional is PBE.

Output
As for the magnetic moment: 0.00 μB per cell. As for the mass density: 6.42 g/cm³. For the energy above the most stable polymorph in this dataset, the calculation gives 368.3 meV per atom.

The structure in POSCAR format:
```
CdCuH
1.0
-1.905 1.905 3.151
1.905 -1.905 3.151
1.905 1.905 -3.151
Cd Cu H
1 1 1
Direct
0.000 0.000 0.000
0.570 0.570 0.000
0.322 0.322 0.000
```


2.
This record from Alexandria describes an optimized crystal structure of Pr4Al12Ag. The functional is PBE.

Output
As for the magnetic moment: 0.00 μB per cell. For the total energy, the calculation gives -4.347 eV/atom. As for the mass density: 4.66 g/cm³.

The structure in POSCAR format:
```
Pr4Al12Ag
1.0
-4.459 4.459 4.459
4.459 -4.459 4.459
4.459 4.459 -4.459
Pr Al Ag
4 12 1
Direct
0.000 0.000 0.500
0.000 0.500 0.000
0.500 0.000 0.000
0.500 0.500 0.500
0.000 0.305 0.305
0.000 0.695 0.695
0.250 0.500 0.750
0.250 0.750 0.500
0.305 0.000 0.305
0.305 0.305 0.000
0.500 0.250 0.750
0.500 0.750 0.250
0.695 0.000 0.695
0.695 0.695 0.000
0.750 0.250 0.500
0.750 0.500 0.250
0.000 0.000 0.000
```


3.
This record from Alexandria describes an optimized crystal structure of Rb2CSCl6. The functional is PBE.

Output
As for the magnetic moment: 0.00 μB per cell. For the total energy, the calculation gives -2.935 eV/atom. As for the mass density: 3.09 g/cm³.

The structure in POSCAR format:
```
Rb2CSCl6
1.0
-3.556 3.556 4.547
3.556 -3.556 4.547
3.556 3.556 -4.547
Rb C S Cl
2 1 1 6
Direct
0.250 0.750 0.500
0.750 0.250 0.500
0.000 0.000 0.000
0.500 0.500 0.000
0.232 0.232 0.464
0.232 0.768 0.000
0.243 0.243 0.000
0.757 0.757 0.000
0.768 0.232 0.000
0.768 0.768 0.536
```


4.
This record from Alexandria describes an optimized crystal structure of SmTm2Zn2Ge2. The functional is PBE.

Output
As for the magnetic moment: 0.00 μB per cell. For the total energy, the calculation gives -4.067 eV/atom. As for the mass density: 7.79 g/cm³.

The structure in POSCAR format:
```
SmTm2Zn2Ge2
1.0
2.065 1.192 11.031
-2.065 1.192 11.031
0.000 -2.384 11.031
Sm Tm Zn Ge
1 2 2 2
Direct
0.000 0.000 0.000
0.125 0.125 0.125
0.875 0.875 0.875
0.392 0.392 0.392
0.608 0.608 0.608
0.263 0.263 0.263
0.737 0.737 0.737
```


5.
This record from Alexandria describes an optimized crystal structure of Pm4GaSiBr2. The functional is PBE.

Output
As for the magnetic moment: 0.00 μB per cell. For the total energy, the calculation gives -4.832 eV/atom. As for the mass density: 6.11 g/cm³.

The structure in POSCAR format:
```
Pm4GaSiBr2
1.0
7.456 0.000 0.000
0.000 4.247 0.000
-2.460 0.000 7.185
Pm Ga Si Br
4 1 1 2
Direct
0.237 0.000 0.215
0.257 0.500 0.781
0.743 0.500 0.219
0.763 0.000 0.785
0.500 0.000 0.000
0.000 0.500 0.000
0.000 0.000 0.500
0.500 0.500 0.500
```


6.
This record from Alexandria describes an optimized crystal structure of DyNp2F8. The functional is PBE.

Output
As for the magnetic moment: 9.00 μB per cell. For the total energy, the calculation gives -7.513 eV/atom. As for the mass density: 9.06 g/cm³.

The structure in POSCAR format:
```
DyNp2F8
1.0
-1.914 3.398 5.554
1.914 -3.398 5.554
1.914 3.398 -5.554
Dy Np F
1 2 8
Direct
0.000 0.000 0.000
0.321 0.321 0.000
0.679 0.679 0.000
0.104 0.843 0.261
0.129 0.629 0.500
0.310 0.500 0.810
0.418 0.157 0.261
0.582 0.843 0.739
0.690 0.500 0.190
0.871 0.371 0.500
0.896 0.157 0.739
```


7.
This record from Alexandria describes an optimized crystal structure of La2Ni12P3Pt. The functional is PBE.

Output
As for the magnetic moment: 0.00 μB per cell. For the total energy, the calculation gives -5.691 eV/atom. As for the mass density: 7.23 g/cm³.

The structure in POSCAR format:
```
La2Ni12P3Pt
1.0
3.814 2.202 5.787
-3.814 2.202 5.787
0.000 -4.404 5.787
La Ni P Pt
2 12 3 1
Direct
0.115 0.115 0.115
0.885 0.885 0.885
0.114 0.626 0.626
0.159 0.159 0.600
0.159 0.600 0.159
0.374 0.374 0.886
0.374 0.886 0.374
0.400 0.841 0.841
0.600 0.159 0.159
0.626 0.114 0.626
0.626 0.626 0.114
0.841 0.400 0.841
0.841 0.841 0.400
0.886 0.374 0.374
0.000 0.500 0.500
0.500 0.000 0.500
0.500 0.500 0.000
0.500 0.500 0.500
```


8.
This record from Alexandria describes an optimized crystal structure of Cd2SbAs2. The functional is PBE.

Output
As for the magnetic moment: 0.00 μB per cell. As for the mass density: 6.89 g/cm³. For the energy above the most stable polymorph in this dataset, the calculation gives 23.7 meV per atom.

The structure in POSCAR format:
```
Cd2SbAs2
1.0
-1.919 1.919 8.115
1.919 -1.919 8.115
1.919 1.919 -8.115
Cd Sb As
2 1 2
Direct
0.101 0.101 0.000
0.899 0.899 0.000
0.500 0.500 0.000
0.250 0.750 0.500
0.750 0.250 0.500
```


9.
This record from Alexandria describes an optimized crystal structure of Ce3SbP. The functional is PBE.

Output
As for the magnetic moment: 6.71 μB per cell. For the total energy, the calculation gives -6.367 eV/atom. As for the mass density: 6.60 g/cm³.

The structure in POSCAR format:
```
Ce3SbP
1.0
5.367 -6.382 0.000
5.367 6.382 0.000
0.000 0.000 4.207
Ce Sb P
6 2 2
Direct
0.189 0.811 0.000
0.193 0.410 0.500
0.410 0.193 0.500
0.590 0.807 0.500
0.807 0.590 0.500
0.811 0.189 0.000
0.000 0.000 0.500
0.500 0.500 0.000
0.000 0.500 0.000
0.500 0.000 0.000
```


10.
This record from Alexandria describes an optimized crystal structure of Na3Tb3NpTe8. The functional is PBE.

Output
As for the magnetic moment: 2.99 μB per cell. For the total energy, the calculation gives -4.889 eV/atom. As for the mass density: 5.81 g/cm³.

The structure in POSCAR format:
```
Na3Tb3NpTe8
1.0
4.426 2.555 7.597
-4.426 2.555 7.597
0.000 -5.110 7.597
Na Tb Np Te
3 3 1 8
Direct
0.000 0.500 0.500
0.500 0.000 0.500
0.500 0.500 0.000
0.000 0.000 0.500
0.000 0.500 0.000
0.500 0.000 0.000
0.500 0.500 0.500
0.245 0.245 0.245
0.245 0.743 0.743
0.257 0.257 0.755
0.257 0.755 0.257
0.743 0.245 0.743
0.743 0.743 0.245
0.755 0.257 0.257
0.755 0.755 0.755
```


11.
This record from Alexandria describes an optimized crystal structure of LiBeZnRu. The functional is PBE.

Output
As for the magnetic moment: 0.00 μB per cell. For the total energy, the calculation gives -4.100 eV/atom. As for the mass density: 6.25 g/cm³.

The structure in POSCAR format:
```
LiBeZnRu
1.0
0.000 2.894 2.894
2.894 0.000 2.894
2.894 2.894 0.000
Li Be Zn Ru
1 1 1 1
Direct
0.000 0.000 0.000
0.250 0.250 0.250
0.750 0.750 0.750
0.500 0.500 0.500
```


12.
This record from Alexandria describes an optimized crystal structure of HOsS2. The functional is PBE.

Output
As for the magnetic moment: 0.00 μB per cell. As for the mass density: 8.50 g/cm³. For the energy above the most stable polymorph in this dataset, the calculation gives 787.0 meV per atom.

The structure in POSCAR format:
```
HOsS2
1.0
1.419 0.820 7.151
-1.419 0.820 7.151
0.000 -1.639 7.151
H Os S
1 1 2
Direct
0.000 0.000 0.000
0.500 0.500 0.500
0.396 0.396 0.396
0.604 0.604 0.604
```


Number 1: V 45.8 Å³ per cell. Number 2: V 354.6 Å³ per cell. Number 3: V 230.0 Å³ per cell. Number 4: V 162.9 Å³ per cell. Number 5: V 227.5 Å³ per cell. Number 6: V 144.5 Å³ per cell. Number 7: V 291.6 Å³ per cell. Number 8: V 119.6 Å³ per cell. Number 9: V 288.2 Å³ per cell. Number 10: V 515.4 Å³ per cell. Number 11: V 48.5 Å³ per cell. Number 12: V 49.9 Å³ per cell.